AgHg | GGA-PBEsol | optimized geometry

Calculated values
excess energy over the best structure of this formula in the dataset = 15 meV/atom
total magnetic moment = 0.0 Bohr magnetons per cell
total energy = -7.6 eV for the cell shown
SG = No. 59

a = 3.0237 Å, b = 4.8538 Å, c = 5.1292 Å
α = 90.00°, β = 90.00°, γ = 90.00°
Last column: nearest neighbours and their distance in Å.
Atoms (fractional coordinates):
Ag 0.5000 0.5000 0.4144  6 Hg 2.90-3.05, 6 Ag 2.99-3.02
Hg 0.0000 0.5000 0.8972  6 Ag 2.90-3.05, 6 Hg 3.02-3.05
Ag 0.0000 0.0000 0.5856  6 Hg 2.90-3.05, 6 Ag 2.99-3.02
Hg 0.5000 0.0000 0.1028  6 Ag 2.90-3.05, 6 Hg 3.02-3.05


Ag11Hg9 | GGA-PBEsol | optimized geometry

Calculated values
total magnetic moment = 0.0 Bohr magnetons per cell
total energy = -40.8 eV for the cell shown
SG = No. 156

a = 3.0256 Å, b = 3.0256 Å, c = 47.5320 Å
α = 90.00°, β = 90.00°, γ = 120.00°
Last column: nearest neighbours and their distance in Å.
Atoms (fractional coordinates):
Ag 0.6667 0.3333 0.8195  6 Hg 2.93-2.95, 6 Ag 3.03
Hg 0.0000 0.0000 0.8695  3 Ag 2.95, 9 Hg 3.03-3.25
Hg 0.0000 0.0000 0.5717  6 Ag 2.94, 6 Hg 3.03
Hg 0.0000 0.0000 0.1791  6 Ag 2.95-2.96, 6 Hg 3.03
Ag 0.6667 0.3333 0.1289  9 Ag 2.83-3.03, 3 Hg 2.96
Ag 0.0000 0.0000 0.0819  12 Ag 2.83-3.03
Hg 0.6667 0.3333 0.9272  12 Hg 3.03-3.26
Ag 0.6667 0.3333 0.7206  6 Hg 2.93, 6 Ag 3.03
Hg 0.0000 0.0000 0.4725  6 Ag 2.93-2.94, 6 Hg 3.03
Ag 0.0000 0.0000 0.2761  12 Ag 2.83-3.03
Hg 0.0000 0.0000 0.9851  3 Ag 2.95, 9 Hg 3.03-3.26
Ag 0.6667 0.3333 0.6214  6 Hg 2.94, 6 Ag 3.03
Ag 0.6667 0.3333 0.0352  9 Ag 2.83-3.03, 3 Hg 2.95
Hg 0.0000 0.0000 0.3730  6 Ag 2.94, 6 Hg 3.03
Ag 0.6667 0.3333 0.4228  6 Hg 2.94, 6 Ag 3.03
Ag 0.6667 0.3333 0.5221  6 Hg 2.93-2.94, 6 Ag 3.03
Ag 0.6667 0.3333 0.2292  9 Ag 2.83-3.03, 3 Hg 2.95
Hg 0.0000 0.0000 0.7701  6 Ag 2.93, 6 Hg 3.03
Ag 0.6667 0.3333 0.3231  9 Ag 2.84-3.03, 3 Hg 2.94
Hg 0.0000 0.0000 0.6710  6 Ag 2.93-2.94, 6 Hg 3.03


Ag4Hg5 | GGA-PBEsol | optimized geometry

Calculated values
total magnetic moment = 0.0 Bohr magnetons per cell
total energy = -15.7 eV for the cell shown
SG = No. 139

a = 4.1320 Å, b = 6.7812 Å, c = 6.7812 Å
α = 84.67°, β = 72.26°, γ = 72.26°
Last column: nearest neighbours and their distance in Å.
Atoms (fractional coordinates):
Ag 0.6573 0.3427 0.3427  5 Ag 2.87-2.90, 7 Hg 3.02-3.13
Ag 0.3427 0.6573 0.6573  5 Ag 2.87-2.90, 7 Hg 3.02-3.13
Hg 0.6698 0.0000 0.6603  6 Hg 2.93-3.10, 6 Ag 3.02-3.03
Hg 0.6698 0.6603 0.0000  6 Hg 2.93-3.10, 6 Ag 3.02-3.03
Ag 0.0000 0.6573 0.3427  5 Ag 2.87-2.90, 7 Hg 3.02-3.13
Hg 0.3302 0.0000 0.3397  6 Hg 2.93-3.10, 6 Ag 3.02-3.03
Ag 0.0000 0.3427 0.6573  5 Ag 2.87-2.90, 7 Hg 3.02-3.13
Hg 0.0000 0.0000 0.0000  8 Hg 3.01, 4 Ag 3.13
Hg 0.3302 0.3397 0.0000  6 Hg 2.93-3.10, 6 Ag 3.02-3.03


AgHg | GGA-PBEsol | optimized geometry

Calculated values
excess energy over the best structure of this formula in the dataset = 19 meV/atom
total magnetic moment = 0.0 Bohr magnetons per cell
total energy = -3.8 eV for the cell shown
SG = No. 166

a = 3.0595 Å, b = 3.0595 Å, c = 4.9951 Å
α = 72.17°, β = 72.17°, γ = 60.00°
Last column: nearest neighbours and their distance in Å.
Atoms (fractional coordinates):
Hg 0.5000 0.5000 0.5000  6 Ag 2.93, 6 Hg 3.06
Ag 0.0000 0.0000 0.0000  6 Hg 2.93, 6 Ag 3.06


AgHg | GGA-PBEsol | optimized geometry

Calculated values
excess energy over the best structure of this formula in the dataset = 0 meV/atom
total magnetic moment = 0.0 Bohr magnetons per cell
total energy = -15.4 eV for the cell shown
SG = No. 62

a = 4.7814 Å, b = 5.2509 Å, c = 5.9599 Å
α = 90.00°, β = 90.00°, γ = 90.00°
Last column: nearest neighbours and their distance in Å.
Atoms (fractional coordinates):
Hg 0.7500 0.3981 0.1257  8 Ag 2.92-3.14, 4 Hg 3.01-3.02
Ag 0.2500 0.0789 0.1290  8 Hg 2.92-3.14, 4 Ag 2.96-3.00
Ag 0.7500 0.4211 0.6290  8 Hg 2.92-3.14, 4 Ag 2.96-3.00
Hg 0.7500 0.8981 0.3743  8 Ag 2.92-3.14, 4 Hg 3.01-3.02
Ag 0.7500 0.9211 0.8710  8 Hg 2.92-3.14, 4 Ag 2.96-3.00
Ag 0.2500 0.5789 0.3710  8 Hg 2.92-3.14, 4 Ag 2.96-3.00
Hg 0.2500 0.6019 0.8743  8 Ag 2.92-3.14, 4 Hg 3.01-3.02
Hg 0.2500 0.1019 0.6257  8 Ag 2.92-3.14, 4 Hg 3.01-3.02


Ag3Hg | GGA-PBEsol | optimized geometry

Calculated values
total magnetic moment = 0.0 Bohr magnetons per cell
total energy = -10.5 eV for the cell shown
SG = No. 47

a = 2.9767 Å, b = 4.0557 Å, c = 5.8202 Å
α = 90.00°, β = 90.00°, γ = 90.00°
Last column: nearest neighbours and their distance in Å.
Atoms (fractional coordinates):
Ag 0.5000 0.5000 0.5000  10 Ag 2.88-2.98, 2 Hg 2.91
Ag 0.0000 0.0000 0.2578  8 Ag 2.82-3.00, 4 Hg 2.93
Ag 0.0000 0.0000 0.7422  8 Ag 2.82-3.00, 4 Hg 2.93
Hg 0.5000 0.5000 0.0000  10 Ag 2.91-2.93, 2 Hg 2.98


Ag5Hg4 | GGA-PBEsol | optimized geometry

Calculated values
total magnetic moment = 0.0 Bohr magnetons per cell
total energy = -18.7 eV for the cell shown
SG = No. 139

a = 4.2278 Å, b = 6.6261 Å, c = 6.6261 Å
α = 84.16°, β = 71.40°, γ = 71.40°
Last column: nearest neighbours and their distance in Å.
Atoms (fractional coordinates):
Hg 0.3220 0.6780 0.6780  7 Ag 2.86-2.99, 5 Hg 3.08-3.16
Ag 0.0000 0.0000 0.0000  4 Hg 2.86, 8 Ag 2.95
Ag 0.6634 0.0000 0.6733  6 Ag 2.90-3.03, 6 Hg 2.93-2.99
Ag 0.3366 0.3267 0.0000  6 Ag 2.90-3.03, 6 Hg 2.93-2.99
Hg 0.0000 0.3220 0.6780  7 Ag 2.86-2.99, 5 Hg 3.08-3.16
Hg 0.6780 0.3220 0.3220  7 Ag 2.86-2.99, 5 Hg 3.08-3.16
Ag 0.3366 0.0000 0.3267  6 Ag 2.90-3.03, 6 Hg 2.93-2.99
Ag 0.6634 0.6733 0.0000  6 Ag 2.90-3.03, 6 Hg 2.93-2.99
Hg 0.0000 0.6780 0.3220  7 Ag 2.86-2.99, 5 Hg 3.08-3.16


Ag3Hg | GGA-PBEsol | optimized geometry

Calculated values
total magnetic moment = 0.0 Bohr magnetons per cell
total energy = -10.5 eV for the cell shown
SG = No. 25

a = 2.9673 Å, b = 4.7430 Å, c = 4.9845 Å
α = 90.00°, β = 90.00°, γ = 90.00°
Last column: nearest neighbours and their distance in Å.
Atoms (fractional coordinates):
Ag 0.0000 0.0000 0.9921  10 Ag 2.86-2.97, 2 Hg 2.93
Hg 0.0000 0.5000 0.3359  10 Ag 2.89-2.93, 2 Hg 2.97
Ag 0.5000 0.5000 0.8372  4 Hg 2.89-2.91, 8 Ag 2.90-2.97
Ag 0.5000 0.0000 0.5014  8 Ag 2.86-2.97, 4 Hg 2.92


Number 1: energy of formation 31 meV per atom, D(E_F) 0.25 states/eV/atom. Number 2: energy of formation 37 meV per atom, D(E_F) 0.28 states/eV/atom. Number 3: energy of formation 46 meV per atom, D(E_F) 0.26 states/eV/atom. Number 4: energy of formation 35 meV per atom, D(E_F) 0.29 states/eV/atom. Number 5: energy of formation 16 meV per atom, D(E_F) 0.30 states/eV/atom. Number 6: energy of formation 6 meV per atom, D(E_F) 0.26 states/eV/atom. Number 7: energy of formation 13 meV per atom, D(E_F) 0.27 states/eV/atom. Number 8: energy of formation 5 meV per atom, D(E_F) 0.21 states/eV/atom.